{"formula": "Zn2CoBr", "functional": "PBE", "state": "relaxed", "lattice_angstrom": [[-1.962, 7.496, 2.360], [-2.844, 7.535, -0.864], [-4.928, 6.269, 1.424]], "species": ["Zn", "Zn", "Co", "Br"], "frac_coords": [[0.008, 0.008, 0.008], [0.265, 0.265, 0.265], [0.748, 0.748, 0.748], [0.478, 0.478, 0.478]], "m_tot_mub_per_fu": 2.07, "relative_energy_mev_per_atom": 144, "e_tot_ev_per_atom": -2.5911, "n_ef_per_ev_atom": 0.524}